{"formula": "ErLuAs2", "functional": "GGA-PBE", "state": "relaxed", "lattice_angstrom": [[4.060, 0.000, 0.000], [2.030, 3.516, 0.000], [2.030, 1.172, 6.621]], "species": ["As", "As", "Lu", "Er"], "frac_coords": [[0.251, 0.251, 0.247], [0.749, 0.749, 0.753], [0.000, 0.000, 0.000], [0.500, 0.500, 0.500]], "total_magnetization_mub_per_fu": 0.000, "formation_energy_mev_per_atom": -1497}